1.
{
  "formula": "Co2Pd2O5",
  "functional": "GGA+U",
  "state": "relaxed",
  "cell": [[3.919, 0.000, 0.000], [0.000, 3.919, 0.000], [0.000, 0.000, 6.587]],
  "species": ["Co", "Co", "Pd", "Pd", "O", "O", "O", "O", "O"],
  "fractional_positions": [[0.000, 0.000, 0.000], [0.000, 0.000, 0.500], [0.500, 0.500, 0.191], [0.500, 0.500, 0.809], [0.000, 0.500, 0.214], [0.000, 0.500, 0.786], [0.500, 0.000, 0.214], [0.500, 0.000, 0.786], [0.500, 0.500, 0.500]],
  "sg": "No. 123"
}


2.
{
  "formula": "Co6PdO8",
  "functional": "GGA+U",
  "state": "relaxed",
  "cell": [[0.000, 4.253, 4.253], [4.253, 0.000, 4.253], [4.253, 4.253, 0.000]],
  "species": ["Co", "Co", "Co", "Co", "Co", "Co", "Pd", "O", "O", "O", "O", "O", "O", "O", "O"],
  "fractional_positions": [[0.000, 0.000, 0.500], [0.000, 0.500, 0.000], [0.000, 0.500, 0.500], [0.500, 0.000, 0.000], [0.500, 0.000, 0.500], [0.500, 0.500, 0.000], [0.000, 0.000, 0.000], [0.237, 0.237, 0.763], [0.237, 0.763, 0.237], [0.237, 0.763, 0.763], [0.250, 0.250, 0.250], [0.750, 0.750, 0.750], [0.763, 0.237, 0.237], [0.763, 0.237, 0.763], [0.763, 0.763, 0.237]],
  "sg": "No. 225"
}


3.
{
  "formula": "CoPdO3",
  "functional": "GGA+U",
  "state": "relaxed",
  "cell": [[2.619, 1.512, 4.512], [-2.619, 1.512, 4.512], [0.000, -3.025, 4.512]],
  "species": ["Co", "Co", "Pd", "Pd", "O", "O", "O", "O", "O", "O"],
  "fractional_positions": [[0.250, 0.250, 0.250], [0.750, 0.750, 0.750], [0.000, 0.000, 0.000], [0.500, 0.500, 0.500], [0.105, 0.750, 0.395], [0.250, 0.605, 0.895], [0.395, 0.105, 0.750], [0.605, 0.895, 0.250], [0.750, 0.395, 0.105], [0.895, 0.250, 0.605]],
  "sg": "No. 167"
}


4.
{
  "formula": "CoPd2O4",
  "functional": "GGA+U",
  "state": "relaxed",
  "cell": [[0.000, 4.317, 4.317], [4.317, 0.000, 4.317], [4.317, 4.317, 0.000]],
  "species": ["Co", "Co", "Pd", "Pd", "Pd", "Pd", "O", "O", "O", "O", "O", "O", "O", "O"],
  "fractional_positions": [[0.125, 0.125, 0.125], [0.875, 0.875, 0.875], [0.000, 0.500, 0.500], [0.500, 0.000, 0.500], [0.500, 0.500, 0.000], [0.500, 0.500, 0.500], [0.255, 0.255, 0.255], [0.255, 0.255, 0.735], [0.255, 0.735, 0.255], [0.265, 0.745, 0.745], [0.735, 0.255, 0.255], [0.745, 0.265, 0.745], [0.745, 0.745, 0.265], [0.745, 0.745, 0.745]],
  "sg": "No. 227"
}


5.
{
  "formula": "CoPdO3",
  "functional": "GGA+U",
  "state": "relaxed",
  "cell": [[2.578, 1.488, 4.592], [-2.578, 1.488, 4.592], [0.000, -2.977, 4.592]],
  "species": ["Co", "Co", "Pd", "Pd", "O", "O", "O", "O", "O", "O"],
  "fractional_positions": [[0.141, 0.141, 0.141], [0.859, 0.859, 0.859], [0.343, 0.343, 0.343], [0.657, 0.657, 0.657], [0.060, 0.448, 0.743], [0.257, 0.940, 0.552], [0.448, 0.743, 0.060], [0.552, 0.257, 0.940], [0.743, 0.060, 0.448], [0.940, 0.552, 0.257]],
  "sg": "No. 148"
}


6.
{
  "formula": "Rb2CoPdO4",
  "functional": "GGA+U",
  "state": "relaxed",
  "cell": [[5.717, 0.000, 0.000], [0.000, 2.365, 5.893], [0.000, -2.365, 5.893]],
  "species": ["Rb", "Rb", "Co", "Pd", "O", "O", "O", "O"],
  "fractional_positions": [[0.000, 0.000, 0.000], [0.500, 0.384, 0.384], [0.500, 0.691, 0.691], [0.000, 0.697, 0.697], [0.271, 0.587, 0.587], [0.280, 0.800, 0.800], [0.720, 0.800, 0.800], [0.729, 0.587, 0.587]],
  "sg": "No. 38"
}


7.
{
  "formula": "SrCo3Pd4O12",
  "functional": "GGA+U",
  "state": "relaxed",
  "cell": [[-3.779, 3.779, 3.779], [3.779, -3.779, 3.779], [3.779, 3.779, -3.779]],
  "species": ["Sr", "Co", "Co", "Co", "Pd", "Pd", "Pd", "Pd", "O", "O", "O", "O", "O", "O", "O", "O", "O", "O", "O", "O"],
  "fractional_positions": [[0.000, 0.000, 0.000], [0.000, 0.500, 0.500], [0.500, 0.000, 0.500], [0.500, 0.500, 0.000], [0.000, 0.000, 0.500], [0.000, 0.500, 0.000], [0.500, 0.000, 0.000], [0.500, 0.500, 0.500], [0.148, 0.829, 0.318], [0.171, 0.318, 0.489], [0.171, 0.682, 0.852], [0.318, 0.148, 0.829], [0.318, 0.489, 0.171], [0.489, 0.171, 0.318], [0.511, 0.829, 0.682], [0.682, 0.511, 0.829], [0.682, 0.852, 0.171], [0.829, 0.318, 0.148], [0.829, 0.682, 0.511], [0.852, 0.171, 0.682]],
  "sg": "No. 204"
}


8.
{
  "formula": "TmCo3Pd4O12",
  "functional": "GGA+U",
  "state": "relaxed",
  "cell": [[-3.768, 3.768, 3.768], [3.768, -3.768, 3.768], [3.768, 3.768, -3.768]],
  "species": ["Tm", "Co", "Co", "Co", "Pd", "Pd", "Pd", "Pd", "O", "O", "O", "O", "O", "O", "O", "O", "O", "O", "O", "O"],
  "fractional_positions": [[0.000, 0.000, 0.000], [0.000, 0.500, 0.500], [0.500, 0.000, 0.500], [0.500, 0.500, 0.000], [0.000, 0.000, 0.500], [0.000, 0.500, 0.000], [0.500, 0.000, 0.000], [0.500, 0.500, 0.500], [0.134, 0.300, 0.835], [0.165, 0.465, 0.300], [0.165, 0.866, 0.700], [0.300, 0.165, 0.465], [0.300, 0.835, 0.134], [0.465, 0.300, 0.165], [0.535, 0.700, 0.835], [0.700, 0.165, 0.866], [0.700, 0.835, 0.535], [0.835, 0.134, 0.300], [0.835, 0.535, 0.700], [0.866, 0.700, 0.165]],
  "sg": "No. 204"
}


9.
{
  "formula": "PmCoO3",
  "functional": "GGA+U",
  "state": "relaxed",
  "cell": [[4.388, 0.000, 0.000], [0.000, 4.388, 0.000], [0.000, 0.000, 4.388]],
  "species": ["Pm", "Co", "O", "O", "O"],
  "fractional_positions": [[0.000, 0.000, 0.000], [0.500, 0.500, 0.500], [0.000, 0.000, 0.500], [0.000, 0.500, 0.000], [0.500, 0.000, 0.000]],
  "sg": "No. 221"
}


10.
{
  "formula": "Pm2CoO4",
  "functional": "GGA+U",
  "state": "relaxed",
  "cell": [[0.000, 4.765, 4.765], [4.765, 0.000, 4.765], [4.765, 4.765, 0.000]],
  "species": ["Pm", "Pm", "Pm", "Pm", "Co", "Co", "O", "O", "O", "O", "O", "O", "O", "O"],
  "fractional_positions": [[0.000, 0.000, 0.000], [0.000, 0.000, 0.500], [0.000, 0.500, 0.000], [0.500, 0.000, 0.000], [0.375, 0.375, 0.375], [0.625, 0.625, 0.625], [0.241, 0.753, 0.753], [0.247, 0.247, 0.247], [0.247, 0.247, 0.759], [0.247, 0.759, 0.247], [0.753, 0.241, 0.753], [0.753, 0.753, 0.241], [0.753, 0.753, 0.753], [0.759, 0.247, 0.247]],
  "sg": "No. 227"
}


11.
{
  "formula": "PmCoO3",
  "functional": "GGA+U",
  "state": "relaxed",
  "cell": [[2.715, 1.568, 4.285], [-2.715, 1.568, 4.285], [0.000, -3.135, 4.285]],
  "species": ["Pm", "Pm", "Co", "Co", "O", "O", "O", "O", "O", "O"],
  "fractional_positions": [[0.250, 0.250, 0.250], [0.750, 0.750, 0.750], [0.000, 0.000, 0.000], [0.500, 0.500, 0.500], [0.178, 0.750, 0.322], [0.250, 0.678, 0.822], [0.322, 0.178, 0.750], [0.678, 0.822, 0.250], [0.750, 0.322, 0.178], [0.822, 0.250, 0.678]],
  "sg": "No. 167"
}


12.
{
  "formula": "PmCoO3",
  "functional": "GGA+U",
  "state": "relaxed",
  "cell": [[3.716, 0.000, 0.000], [0.000, 3.716, 0.000], [0.000, 0.000, 3.740]],
  "species": ["Pm", "Co", "O", "O", "O"],
  "fractional_positions": [[0.000, 0.000, 0.000], [0.500, 0.500, 0.506], [0.000, 0.500, 0.527], [0.500, 0.000, 0.527], [0.500, 0.500, 0.013]],
  "sg": "No. 99"
}


Number 1: E_tot -5.05 eV/atom. Number 2: E_tot -5.89 eV/atom. Number 3: E_tot -5.54 eV/atom. Number 4: E_tot -5.51 eV/atom. Number 5: E_tot -5.68 eV/atom. Number 6: E_tot -5.02 eV/atom. Number 7: E_tot -5.67 eV/atom. Number 8: E_tot -5.89 eV/atom. Number 9: E_tot -5.78 eV/atom. Number 10: E_tot -7.40 eV/atom. Number 11: E_tot -7.12 eV/atom. Number 12: E_tot -7.01 eV/atom.